Ti2CdTc: relaxed, PBE.

Cell lengths 3.1744, 3.1744, 6.7562 Å; angles 90.00, 90.00, 90.00 degrees
Closest atoms and distances in Å follow each position.
Space group P4/mmm (No. 123)
Asymmetric unit:
Ti 0.0000 0.0000 0.2121 x2  4 Tc 2.66, 1 Ti 2.87, 4 Cd 2.97
Cd 0.5000 0.5000 0.5000 x1  8 Ti 2.97, 4 Cd 3.17
Tc 0.5000 0.5000 0.0000 x1  8 Ti 2.66

Values from the calculation:
For the total magnetization, the calculation gives 0.00 μB per formula unit. The total energy comes out at -7.060 eV per atom. The formation energy from the elements is -0.29 eV/atom.

Ti2CdTc: relaxed, PBE.

Cell lengths 7.2088, 7.2088, 5.5959 Å; angles 90.00, 90.00, 90.00 degrees
Closest atoms and distances in Å follow each position.
Space group I-42d (No. 122)
Asymmetric unit:
Ti 0.2104 0.2500 0.1250 x8  2 Tc 2.46
Cd 0.0000 0.0000 0.5000 x4  2 Tc 2.80, 4 Ti 2.85
Tc 0.0000 0.0000 0.0000 x4  4 Ti 2.46

Values from the calculation:
For the total magnetization, the calculation gives 0.00 μB per formula unit. The total energy comes out at -6.482 eV per atom. The formation energy from the elements is 0.29 eV/atom.

TiCd3Tc: relaxed, PBE.

Cell lengths 5.1097, 5.1097, 5.1097 Å; angles 90.00, 90.00, 90.00 degrees
Closest atoms and distances in Å follow each position.
Space group Pm-3m (No. 221)
Asymmetric unit:
Ti 0.0000 0.0000 0.0000 x1  12 Cd 3.61
Cd 0.0000 0.5000 0.5000 x3  2 Tc 2.55
Tc 0.5000 0.5000 0.5000 x1  6 Cd 2.55

Values from the calculation:
For the total magnetization, the calculation gives 1.07 μB per formula unit. The total energy comes out at -2.998 eV per atom. The formation energy from the elements is 1.20 eV/atom.

Ti3CdTc: relaxed, PBE.

Cell lengths 4.7385, 4.7385, 4.7385 Å; angles 90.00, 90.00, 90.00 degrees
Closest atoms and distances in Å follow each position.
Space group Pm-3m (No. 221)
Asymmetric unit:
Ti 0.0000 0.0000 0.5000 x3  2 Tc 2.37
Cd 0.5000 0.5000 0.5000 x1  12 Ti 3.35
Tc 0.0000 0.0000 0.0000 x1  6 Ti 2.37

Values from the calculation:
For the total magnetization, the calculation gives 1.58 μB per formula unit. The total energy comes out at -6.544 eV per atom. The formation energy from the elements is 0.45 eV/atom.

TiCd2Tc: relaxed, PBE.

Cell lengths 6.5711, 6.5711, 6.5711 Å; angles 90.00, 90.00, 90.00 degrees
Closest atoms and distances in Å follow each position.
Space group Fm-3m (No. 225)
Asymmetric unit:
Ti 0.0000 0.0000 0.0000 x4  8 Cd 2.85
Cd 0.2500 0.2500 0.2500 x8  4 Tc 2.85, 4 Ti 2.85
Tc 0.0000 0.0000 0.5000 x4  8 Cd 2.85

Values from the calculation:
For the total magnetization, the calculation gives 0.00 μB per formula unit. The total energy comes out at -4.660 eV per atom. The formation energy from the elements is 0.36 eV/atom.

Ti2CdTc: relaxed, PBE.

Cell lengths 4.4693, 4.4693, 3.3210 Å; angles 90.00, 90.00, 90.00 degrees
Closest atoms and distances in Å follow each position.
Space group P4/mmm (No. 123)
Asymmetric unit:
Ti 0.0000 0.5000 0.0000 x2  4 Tc 2.78, 4 Cd 2.78
Cd 0.0000 0.0000 0.5000 x1  8 Ti 2.78
Tc 0.5000 0.5000 0.5000 x1  8 Ti 2.78

Values from the calculation:
For the total magnetization, the calculation gives 0.00 μB per formula unit. The total energy comes out at -6.896 eV per atom. The formation energy from the elements is -0.13 eV/atom.

TiCd3Tc: relaxed, PBE.

Cell lengths 5.1788, 5.1788, 5.1788 Å; angles 90.00, 90.00, 90.00 degrees
Closest atoms and distances in Å follow each position.
Space group Pm-3m (No. 221)
Asymmetric unit:
Ti 0.0000 0.0000 0.0000 x1  6 Cd 2.59
Cd 0.0000 0.0000 0.5000 x3  2 Ti 2.59
Tc 0.5000 0.5000 0.5000 x1  12 Cd 3.66

Values from the calculation:
For the total magnetization, the calculation gives 4.88 μB per formula unit. The total energy comes out at -2.671 eV per atom. The formation energy from the elements is 1.53 eV/atom.

TiCd2Tc: relaxed, PBE.

Cell lengths 3.8294, 3.8294, 20.8302 Å; angles 90.00, 90.00, 90.00 degrees
Closest atoms and distances in Å follow each position.
Space group I-42d (No. 122)
Asymmetric unit:
Ti 0.0000 0.0000 0.0000 x4  4 Tc 2.71, 4 Cd 2.94
Cd 0.2446 0.2500 0.6250 x8  4 Cd 2.68-2.74, 2 Tc 2.93, 2 Ti 2.94
Tc 0.0000 0.0000 0.5000 x4  4 Ti 2.71, 4 Cd 2.93

Values from the calculation:
For the total magnetization, the calculation gives 0.00 μB per formula unit. The total energy comes out at -4.542 eV per atom. The formation energy from the elements is 0.48 eV/atom.

TiCdTc3: relaxed, PBE.

Cell lengths 4.5666, 4.5666, 4.5666 Å; angles 90.00, 90.00, 90.00 degrees
Closest atoms and distances in Å follow each position.
Space group Pm-3m (No. 221)
Asymmetric unit:
Ti 0.0000 0.0000 0.0000 x1  6 Tc 2.28
Cd 0.5000 0.5000 0.5000 x1  12 Tc 3.23
Tc 0.0000 0.0000 0.5000 x3  2 Ti 2.28

Values from the calculation:
For the total magnetization, the calculation gives 2.07 μB per formula unit. The total energy comes out at -6.755 eV per atom. The formation energy from the elements is 1.23 eV/atom.

TiCdTc3: relaxed, PBE.

Cell lengths 4.7868, 4.7868, 4.7868 Å; angles 90.00, 90.00, 90.00 degrees
Closest atoms and distances in Å follow each position.
Space group Pm-3m (No. 221)
Asymmetric unit:
Ti 0.0000 0.0000 0.0000 x1  12 Tc 3.38
Cd 0.5000 0.5000 0.5000 x1  6 Tc 2.39
Tc 0.0000 0.5000 0.5000 x3  2 Cd 2.39

Values from the calculation:
For the total magnetization, the calculation gives 2.32 μB per formula unit. The total energy comes out at -5.599 eV per atom. The formation energy from the elements is 2.38 eV/atom.

TiZn2CdTc: relaxed, PBE.

Cell lengths 4.7952, 4.7952, 5.1285 Å; angles 90.00, 90.00, 90.00 degrees
Closest atoms and distances in Å follow each position.
Space group P4/mmm (No. 123)
Asymmetric unit:
Ti 0.0000 0.0000 0.0000 x1  4 Zn 2.40, 2 Cd 2.56
Zn 0.0000 0.5000 0.0000 x2  2 Ti 2.40
Cd 0.0000 0.0000 0.5000 x1  2 Ti 2.56
Tc 0.5000 0.5000 0.5000 x1  4 Cd 3.39, 8 Zn 3.51

Values from the calculation:
For the total magnetization, the calculation gives 4.30 μB per formula unit. The total energy comes out at -2.863 eV per atom. The formation energy from the elements is 1.48 eV/atom.

TlCdTc2: relaxed, PBE.

Cell lengths 10.1087, 3.0765, 5.4064 Å; angles 90.00, 109.96, 90.00 degrees
Closest atoms and distances in Å follow each position.
Space group C2/m (No. 12)
Asymmetric unit:
Tl 0.0000 0.0000 0.0000 x2  4 Tc 2.92, 2 Tl 3.08, 4 Cd 3.11
Cd 0.0000 0.5000 0.5000 x2  6 Tc 2.88-2.95, 2 Cd 3.08, 4 Tl 3.11
Tc 0.2443 0.5000 0.3200 x4  2 Tc 2.45

Values from the calculation:
For the total magnetization, the calculation gives 0.00 μB per formula unit. The total energy comes out at -5.325 eV per atom. The formation energy from the elements is 0.68 eV/atom.

TlCd2Tc: relaxed, PBE.

Cell lengths 2.9454, 5.0283, 5.4679 Å; angles 90.00, 90.04, 90.00 degrees
Closest atoms and distances in Å follow each position.
Space group Pm (No. 6)
Asymmetric unit:
Tl 0.0000 0.0000 0.0000 x1  2 Tl 2.95, 8 Cd 2.99-3.23, 2 Tc 3.01
Cd 0.4990 0.0000 0.5244 x1  4 Cd 2.95-3.03, 4 Tl 2.99-3.23, 4 Tc 3.06
Cd 0.5016 0.5000 0.2147 x1  4 Cd 2.95-3.03, 4 Tc 3.02-3.19, 4 Tl 3.14
Tc 0.9996 0.5000 0.6979 x1  2 Tc 2.95, 2 Tl 3.01, 8 Cd 3.02-3.19

Values from the calculation:
For the total magnetization, the calculation gives 0.00 μB per formula unit. The total energy comes out at -3.147 eV per atom. The formation energy from the elements is 0.49 eV/atom.

TlCd2Tc: relaxed, PBE.

Cell lengths 4.1450, 4.1450, 9.2640 Å; angles 90.00, 90.00, 90.00 degrees
Closest atoms and distances in Å follow each position.
Space group I-4m2 (No. 119)
Asymmetric unit:
Tl 0.0000 0.0000 0.0000 x2  8 Cd 2.93-3.11, 4 Tc 3.11
Cd 0.0000 0.0000 0.5000 x2  4 Tl 2.93, 4 Cd 3.11, 4 Tc 3.11
Cd 0.0000 0.5000 0.2500 x2  4 Tc 2.93, 4 Cd 3.11, 4 Tl 3.11
Tc 0.0000 0.5000 0.7500 x2  8 Cd 2.93-3.11, 4 Tl 3.11

Values from the calculation:
For the total magnetization, the calculation gives 0.17 μB per formula unit. The total energy comes out at -3.139 eV per atom. The formation energy from the elements is 0.50 eV/atom.

TlCd2Tc: relaxed, PBE.

Cell lengths 10.8154, 3.1414, 5.4444 Å; angles 90.00, 117.33, 90.00 degrees
Closest atoms and distances in Å follow each position.
Space group Cm (No. 8)
Asymmetric unit:
Tl 0.0000 0.0000 0.0000 x2  3 Tc 2.92-2.97, 7 Cd 3.02-3.17, 2 Tl 3.14
Cd 0.2298 0.0000 0.5869 x2  5 Cd 2.91-3.14, 2 Tc 2.93, 3 Tl 3.02-3.17
Cd 0.4662 0.0000 0.4677 x2  5 Cd 2.91-3.14, 3 Tc 2.93-3.18, 4 Tl 3.15-3.17
Tc 0.2380 0.5000 0.0490 x2  3 Tl 2.92-2.97, 5 Cd 2.93-3.18, 2 Tc 3.14

Values from the calculation:
For the total magnetization, the calculation gives 1.51 μB per formula unit. The total energy comes out at -3.191 eV per atom. The formation energy from the elements is 0.45 eV/atom.

TlCdTc: relaxed, PBE.

Cell lengths 2.9205, 4.2332, 9.5921 Å; angles 90.00, 90.00, 90.00 degrees
Closest atoms and distances in Å follow each position.
Space group Imm2 (No. 44)
Asymmetric unit:
Tl 0.0000 0.0000 0.0000 x2  2 Tl 2.92, 5 Cd 3.01-3.13, 5 Tc 3.01-3.23
Cd 0.0000 0.0000 0.6863 x2  2 Cd 2.92, 4 Tc 2.95, 5 Tl 3.01-3.13
Tc 0.0000 0.0000 0.3363 x2  2 Tc 2.92, 4 Cd 2.95, 5 Tl 3.01-3.23

Values from the calculation:
For the total magnetization, the calculation gives 0.00 μB per formula unit. The total energy comes out at -3.852 eV per atom. The formation energy from the elements is 0.70 eV/atom.

TlCdTc2: relaxed, PBE.

Cell lengths 9.4074, 3.1968, 5.1722 Å; angles 90.00, 103.21, 90.00 degrees
Closest atoms and distances in Å follow each position.
Space group Cm (No. 8)
Asymmetric unit:
Tl 0.0000 0.0000 0.0000 x2  3 Cd 2.80-3.07, 5 Tc 2.92-3.06
Cd 0.2729 0.5000 0.2685 x2  3 Tl 2.80-3.07, 5 Tc 2.87-3.03
Tc 0.0376 0.5000 0.5488 x2  2 Tc 2.44
Tc 0.2341 0.0000 0.7089 x2  2 Tc 2.44

Values from the calculation:
For the total magnetization, the calculation gives 0.00 μB per formula unit. The total energy comes out at -5.403 eV per atom. The formation energy from the elements is 0.60 eV/atom.

TlCdTc2: relaxed, PBE.

Cell lengths 2.9530, 4.7520, 5.3305 Å; angles 90.00, 93.81, 90.00 degrees
Closest atoms and distances in Å follow each position.
Space group P2/m (No. 10)
Asymmetric unit:
Tl 0.0000 0.0000 0.0000 x1  4 Tc 2.87, 2 Tl 2.95, 4 Cd 2.96-3.13
Cd 0.5000 0.0000 0.5000 x1  4 Tc 2.86, 2 Cd 2.95, 4 Tl 2.96-3.13
Tc 0.1528 0.5000 0.7147 x2  1 Tc 2.40

Values from the calculation:
For the total magnetization, the calculation gives 0.00 μB per formula unit. The total energy comes out at -5.317 eV per atom. The formation energy from the elements is 0.69 eV/atom.

TlCdTc: relaxed, PBE.

Cell lengths 6.5694, 6.5694, 6.5694 Å; angles 90.00, 90.00, 90.00 degrees
Closest atoms and distances in Å follow each position.
Space group F-43m (No. 216)
Asymmetric unit:
Tl 0.0000 0.0000 0.0000 x4  4 Tc 2.84
Cd 0.0000 0.0000 0.5000 x4  4 Tc 2.84
Tc 0.2500 0.2500 0.7500 x4  4 Cd 2.84, 4 Tl 2.84

Values from the calculation:
For the total magnetization, the calculation gives 1.81 μB per formula unit. The total energy comes out at -3.717 eV per atom. The formation energy from the elements is 0.83 eV/atom.

TlCdTc2: relaxed, PBE.

Cell lengths 4.1586, 4.1586, 4.2112 Å; angles 90.00, 90.00, 90.00 degrees
Closest atoms and distances in Å follow each position.
Space group P4/mmm (No. 123)
Asymmetric unit:
Tl 0.0000 0.0000 0.0000 x1  4 Cd 2.94, 8 Tc 2.96
Cd 0.5000 0.5000 0.0000 x1  4 Tl 2.94, 8 Tc 2.96
Tc 0.0000 0.5000 0.5000 x2  4 Tc 2.94, 4 Cd 2.96, 4 Tl 2.96

Values from the calculation:
For the total magnetization, the calculation gives 3.37 μB per formula unit. The total energy comes out at -5.226 eV per atom. The formation energy from the elements is 0.78 eV/atom.